Computed, not measured: crystalline Er5Zn2Pd12 at its relaxed geometry at the GGA-PBE level of DFT.

```
Er5Zn2Pd12
1.0
6.723 -3.603 0.000
6.723 3.603 0.000
-1.527 0.000 7.341
Er Zn Pd
5 2 12
Direct
0.000 0.000 0.000
0.283 0.283 0.522
0.307 0.307 0.024
0.693 0.693 0.976
0.717 0.717 0.478
0.321 0.679 0.500
0.679 0.321 0.500
0.035 0.621 0.794
0.060 0.684 0.239
0.064 0.064 0.393
0.316 0.940 0.761
0.379 0.965 0.206
0.479 0.479 0.800
0.521 0.521 0.200
0.621 0.035 0.794
0.684 0.060 0.239
0.936 0.936 0.607
0.940 0.316 0.761
0.965 0.379 0.206
```

Summary:
D(E_F) in states/eV per atom: 0.482
M_tot in μB/f.u.: 0.00
Energy relative to the elements in eV/atom: -0.70
Volume in Å³ per cell: 356
Symmetry: C2/m (12)
Crystal system: monoclinic

Computed, not measured: crystalline Cd7InAg5 at its relaxed geometry at the GGA-PBE level of DFT.

```
Cd7InAg5
1.0
-2.841 4.998 4.907
2.841 -4.998 4.907
2.841 4.998 -4.907
Cd In Ag
7 1 5
Direct
0.000 0.000 0.000
0.312 0.312 0.000
0.312 0.653 0.659
0.455 0.145 0.310
0.836 0.145 0.690
0.881 0.381 0.500
0.994 0.653 0.341
0.645 0.645 0.000
0.148 0.149 0.499
0.148 0.649 0.999
0.413 0.913 0.500
0.650 0.149 0.001
0.650 0.649 0.501
```

Summary:
D(E_F) in states/eV per atom: 0.326
M_tot in μB/f.u.: 0.00
Energy relative to the elements in eV/atom: -0.01
Volume in Å³ per cell: 279
Symmetry: Imm2 (44)
Crystal system: orthorhombic

Computed, not measured: crystalline Pr4IrI2Br at its relaxed geometry at the GGA-PBE level of DFT.

```
Pr4IrI2Br
1.0
7.911 0.000 0.000
0.000 4.237 0.000
-2.481 0.000 7.939
Pr Ir I Br
4 1 2 1
Direct
0.198 0.000 0.194
0.233 0.500 0.798
0.767 0.500 0.202
0.802 0.000 0.806
0.000 0.500 0.000
0.000 0.000 0.500
0.500 0.500 0.500
0.500 0.000 0.000
```

Summary:
D(E_F) in states/eV per atom: 0.477
M_tot in μB/f.u.: 0.00
ΔE_f (raw) in kJ/mol of formula units: -748
Volume in Å³ per cell: 266
Symmetry: P2/m (10)
Crystal system: monoclinic

Computed, not measured: crystalline NdSmSbBr at its relaxed geometry at the GGA-PBE level of DFT.

```
NdSmSbBr
1.0
0.000 3.807 3.807
3.807 0.000 3.807
3.807 3.807 0.000
Nd Sm Sb Br
1 1 1 1
Direct
0.000 0.000 0.000
0.500 0.500 0.500
0.750 0.750 0.750
0.250 0.250 0.250
```

Summary:
D(E_F) in states/eV per atom: 0.818
M_tot in μB/f.u.: 0.01
ΔE_f (raw) in kJ/mol of formula units: -423
Volume in Å³ per cell: 110
Symmetry: F-43m (216)
Crystal system: cubic